(1)
VASP calculation (PBE) on a relaxed Er2ZnCo3 crystal.

Cell and atoms, written as POSCAR:
```
Er2ZnCo3
1.0
-2.7402 -3.7016 -2.2798
4.4932 1.4733 -2.0122
2.2742 -0.8621 4.4589
Co Er Zn
3 2 1
Direct
0.5000 0.0000 0.5000
0.0000 0.0000 0.5000
0.5000 0.5000 0.5000
0.7544 0.3772 0.1316
0.2456 0.6228 0.8684
0.0000 0.0000 0.0000
```

Values from the calculation:
Final energy in eV for the cell shown: -33.10
N(E_F) in states/eV per atom: 1.3811

(2)
VASP calculation (PBE) on a relaxed MgCu2Se2 crystal.

Cell and atoms, written as POSCAR:
```
MgCu2Se2
1.0
3.9207 0.0000 0.0000
0.0000 6.6120 -0.0225
0.0000 0.1575 7.3222
Mg Se Cu
2 4 4
Direct
0.2500 0.0498 0.8073
0.7500 0.9502 0.1927
0.2500 0.2462 0.1189
0.2500 0.7353 0.3877
0.7500 0.2647 0.6123
0.7500 0.7538 0.8811
0.2500 0.6207 0.0677
0.7500 0.8850 0.5560
0.7500 0.3793 0.9323
0.2500 0.1150 0.4440
```

Values from the calculation:
Final energy in eV for the cell shown: -38.23
E above lowest polymorph in meV/atom: 37
Raw formation energy in eV per atom: -0.4716
N(E_F) in states/eV per atom: 0.0415

(3)
VASP calculation (PBE) on a relaxed NbAlReRh crystal.

Cell and atoms, written as POSCAR:
```
NbAlReRh
1.0
4.4265 0.0000 0.0000
2.2133 3.8335 0.0000
2.2133 1.2778 3.6142
Al Nb Re Rh
1 1 1 1
Direct
0.5000 0.5000 0.5000
0.0000 0.0000 0.0000
0.2500 0.2500 0.2500
0.7500 0.7500 0.7500
```

Values from the calculation:
Final energy in eV for the cell shown: -35.48
N(E_F) in states/eV per atom: 0.0860

(4)
VASP calculation (PBE) on a relaxed ZrSn2Sb2 crystal.

Cell and atoms, written as POSCAR:
```
ZrSn2Sb2
1.0
-5.0183 1.7037 5.5694
4.8105 -2.9318 5.2313
1.9821 4.1654 0.5118
Zr Sb Sn
2 4 4
Direct
0.5000 0.5000 0.0000
0.0000 0.0000 0.0000
0.6490 0.1490 0.0000
0.3510 0.8510 0.0000
0.8510 0.6490 0.0000
0.1490 0.3510 0.0000
0.1623 0.6623 0.5000
0.6623 0.8377 0.5000
0.3377 0.1623 0.5000
0.8377 0.3377 0.5000
```

Values from the calculation:
Final energy in eV for the cell shown: -49.74
Raw formation energy in eV per atom: -0.0148
N(E_F) in states/eV per atom: 0.3510

(5)
VASP calculation (PBE) on a relaxed Cd2CuCl crystal.

Cell and atoms, written as POSCAR:
```
Cd2CuCl
1.0
-0.0117 -2.2135 2.2233
4.1630 -1.7018 -1.6724
2.7782 3.4279 3.4275
Cl Cd Cu
1 2 1
Direct
0.5000 0.0000 0.5000
0.0000 0.0000 0.0000
0.5000 0.5000 0.0000
0.0000 0.5000 0.5000
```

Values from the calculation:
Final energy in eV for the cell shown: -7.31
E above lowest polymorph in meV/atom: 304
Raw formation energy in eV per atom: 0.1168
N(E_F) in states/eV per atom: 0.1616

(6)
VASP calculation (PBE) on a relaxed La2Ti3Bi2O12 crystal.

Cell and atoms, written as POSCAR:
```
La2Ti3Bi2O12
1.0
-5.9102 -15.7082 2.7978
-5.0232 -16.2310 -0.9340
3.3899 -1.5705 1.0141
La O Ti Bi
2 12 3 2
Direct
0.4620 0.4081 0.5380
0.5919 0.5380 0.4081
0.1357 0.0919 0.3660
0.9558 0.9283 0.0442
0.8506 0.7902 0.1494
0.6340 0.5937 0.8643
0.9081 0.8643 0.5937
0.0717 0.0442 0.9283
0.2098 0.1494 0.7902
0.4063 0.3660 0.0919
0.2097 0.2903 0.2903
0.7097 0.7903 0.7903
0.5101 0.4899 0.0050
0.9950 0.0050 0.4899
0.8922 0.8554 0.1078
0.0213 0.9787 0.9787
0.1446 0.1078 0.8554
0.2157 0.3612 0.7843
0.6388 0.7843 0.3612
```

Values from the calculation:
Final energy in eV for the cell shown: -152.79
Raw formation energy in eV per atom: -2.7362
N(E_F) in states/eV per atom: 0.0000

(7)
VASP calculation (PBE) on a relaxed TbCeHo4S8 crystal.

Cell and atoms, written as POSCAR:
```
TbCeHo4S8
1.0
8.0782 0.0000 0.0000
4.0391 6.9959 0.0000
4.0391 2.3320 6.6177
S Ho Ce Tb
8 4 1 1
Direct
0.2397 0.7852 0.7354
0.7554 0.7554 0.2597
0.7575 0.7575 0.7276
0.2397 0.2397 0.7354
0.2377 0.2377 0.2870
0.7852 0.2397 0.7354
0.2295 0.7554 0.2597
0.7554 0.2295 0.2597
0.6253 0.6253 0.1240
0.9999 0.5004 0.4998
0.9999 0.9999 0.4998
0.5004 0.9999 0.4998
0.3745 0.3745 0.8765
0.9999 0.9999 0.0003
```

Values from the calculation:
Final energy in eV for the cell shown: -88.68
Raw formation energy in eV per atom: -1.9131
N(E_F) in states/eV per atom: 0.8880

(8)
VASP calculation (PBE) on a relaxed HfNpFe4 crystal.

Cell and atoms, written as POSCAR:
```
HfNpFe4
1.0
4.9771 0.0000 0.0000
2.4886 4.3103 0.0000
2.4886 1.4368 4.0638
Hf Fe Np
1 4 1
Direct
0.0000 0.0000 0.0000
0.6255 0.6255 0.6255
0.6255 0.6255 0.1236
0.6255 0.1236 0.6255
0.1236 0.6255 0.6255
0.2500 0.2500 0.2500
```

Values from the calculation:
Final energy in eV for the cell shown: -57.22
N(E_F) in states/eV per atom: 1.9790

(9)
VASP calculation (PBE) on a relaxed EuTmMgCu crystal.

Cell and atoms, written as POSCAR:
```
EuTmMgCu
1.0
5.2210 0.0000 0.0000
2.6105 4.5215 0.0000
2.6105 1.5072 4.2630
Eu Cu Tm Mg
1 1 1 1
Direct
0.0000 0.0000 0.0000
0.2500 0.2500 0.2500
0.5000 0.5000 0.5000
0.7500 0.7500 0.7500
```

Values from the calculation:
Final energy in eV for the cell shown: -20.45
N(E_F) in states/eV per atom: 0.8083

(10)
VASP calculation (PBE) on a relaxed CeTl2SeO6 crystal.

Cell and atoms, written as POSCAR:
```
CeTl2SeO6
1.0
5.8676 -0.0001 0.0004
-0.0001 5.8677 0.0004
2.9340 2.9341 4.1502
O Tl Ce Se
6 2 1 1
Direct
0.7235 0.2764 0.0000
0.2765 0.7236 0.0000
0.7236 0.7236 0.9999
0.2763 0.2763 0.4472
0.7237 0.7237 0.5528
0.2764 0.2764 0.0001
0.7500 0.2500 0.5000
0.2500 0.7500 0.5000
0.0000 0.0000 0.0000
0.5000 0.5000 0.0000
```

Values from the calculation:
Final energy in eV for the cell shown: -57.39
Raw formation energy in eV per atom: -1.3493
N(E_F) in states/eV per atom: 0.1379

(11)
VASP calculation (PBE) on a relaxed Pm3CN crystal.

Cell and atoms, written as POSCAR:
```
Pm3CN
1.0
3.6535 0.0000 0.0000
0.0000 6.3188 0.0000
0.0000 -3.1594 9.5833
Pm C N
6 2 2
Direct
0.7500 0.9385 0.7993
0.2500 0.6254 0.4993
0.2500 0.1391 0.2007
0.2500 0.4456 0.7966
0.7500 0.1261 0.5007
0.7500 0.6489 0.2034
0.7500 0.3744 0.3260
0.2500 0.0484 0.6740
0.2500 0.8697 0.3275
0.7500 0.5422 0.6725
```

Values from the calculation:
Final energy in eV for the cell shown: -69.98
E above lowest polymorph in meV/atom: 0
Raw formation energy in eV per atom: -0.6378
N(E_F) in states/eV per atom: 0.6069

(12)
VASP calculation (PBE) on a relaxed Mn2CoAu crystal.

Cell and atoms, written as POSCAR:
```
Mn2CoAu
1.0
2.8088 0.0000 0.0000
0.0000 2.8088 0.0000
0.0000 0.0000 6.8124
Co Mn Au
1 2 1
Direct
0.5000 0.5000 0.7905
0.5000 0.5000 0.2191
0.0000 0.0000 0.9824
0.0000 0.0000 0.5081
```

Values from the calculation:
Final energy in eV for the cell shown: -27.92
E above lowest polymorph in meV/atom: 183
N(E_F) in states/eV per atom: 1.1191